A plane-wave DFT calculation with PBE-GGA was carried out for an optimized crystal structure of Li2AlCl.

```
4
Lattice="5.3809 0.0000 0.0000 2.1861 4.9168 0.0000 -3.7835 -2.4584 2.9318" Properties=species:S:1:pos:R:3 pbc="T T T"
Li 3.7835 2.4584 0.0000
Al 1.0930 2.4584 1.4659
Cl 2.6904 0.0000 1.4659
Li 0.0000 0.0000 0.0000
```

## Properties
E   -10.59 eV/f.u.
Spin magnetization   0.00 μB per atom
E above lowest polymorph   43.3 kJ per mole of atoms
Raw formation energy   -0.293 eV/atom

---

A plane-wave DFT calculation with PBE-GGA was carried out for an optimized crystal structure of LiAlCl.

```
3
Lattice="3.4046 0.0000 0.0000 -1.7023 2.9485 0.0000 0.0000 0.0000 5.8791" Properties=species:S:1:pos:R:3 pbc="T T T"
Li 0.0000 1.9657 2.2714
Al 0.0000 0.0000 0.0479
Cl 1.7023 0.9828 3.5598
```

## Properties
E   -9.26 eV/f.u.
Spin magnetization   0.00 μB per atom
E above lowest polymorph   4.9 kJ per mole of atoms
Raw formation energy   -0.586 eV/atom

---

A plane-wave DFT calculation with PBE-GGA was carried out for an optimized crystal structure of LiAlCl2.

```
4
Lattice="3.4761 0.0000 0.0000 0.0000 5.4037 0.0076 0.0000 2.4331 5.3161" Properties=species:S:1:pos:R:3 pbc="T T T"
Li 0.0000 3.6923 2.7866
Cl 1.7381 2.7668 1.4099
Al 1.7381 5.6776 4.4147
Cl 0.0000 7.4552 4.6981
```

## Properties
E   -13.63 eV/f.u.
Spin magnetization   0.00 μB per atom
E above lowest polymorph   0.0 kJ per mole of atoms
Raw formation energy   -1.069 eV/atom

---

A plane-wave DFT calculation with PBE-GGA was carried out for an optimized crystal structure of Li2AlCl.

```
4
Lattice="-5.5193 -0.0986 -0.5893 -1.0536 -5.4344 -0.4197 1.6696 4.1887 3.2383" Properties=species:S:1:pos:R:3 pbc="T T T"
Al -3.5681 0.6618 1.0723
Cl -1.3352 -2.0061 1.1571
Li -0.2985 -0.2513 -0.0458
Li -2.9879 -2.5152 -0.4586
```

## Properties
E   -11.40 eV/f.u.
Spin magnetization   0.00 μB per atom
E above lowest polymorph   23.9 kJ per mole of atoms
Raw formation energy   -0.495 eV/atom

---

A plane-wave DFT calculation with PBE-GGA was carried out for an optimized crystal structure of Li2AlCl.

```
8
Lattice="-3.2952 4.4311 3.9215 -5.1900 -4.3202 0.5205 -2.7040 -1.4343 5.1972" Properties=species:S:1:pos:R:3 pbc="T T T"
Li -3.5821 2.1368 4.0508
Li -4.1338 -2.7708 1.8793
Cl -5.1209 1.5261 5.6699
Al -4.2426 0.0554 2.2210
Cl 0.0000 0.0000 0.0000
Li -9.7641 -1.2381 7.8159
Li -4.8984 -0.7748 5.5324
Al -6.0683 -2.8495 3.9693
```

## Properties
E   -11.46 eV/f.u.
Spin magnetization   0.00 μB per atom
E above lowest polymorph   22.5 kJ per mole of atoms
Raw formation energy   -0.510 eV/atom

---

A plane-wave DFT calculation with PBE-GGA was carried out for an optimized crystal structure of Li2AlCl.

```
4
Lattice="0.0000 3.4615 3.4615 3.4615 0.0000 3.4615 3.4615 3.4615 0.0000" Properties=species:S:1:pos:R:3 pbc="T T T"
Cl 3.4615 3.4615 3.4615
Al 0.0000 0.0000 0.0000
Li 5.1922 5.1922 5.1922
Li 1.7307 1.7307 1.7307
```

## Properties
E   -9.97 eV/f.u.
Spin magnetization   0.00 μB per atom
E above lowest polymorph   58.3 kJ per mole of atoms
Raw formation energy   -0.138 eV/atom

---

A plane-wave DFT calculation with PBE-GGA was carried out for an optimized crystal structure of LiAlCl2.

```
4
Lattice="3.3649 0.0000 0.0000 0.0000 3.3649 0.0000 0.0000 0.0000 7.2906" Properties=species:S:1:pos:R:3 pbc="T T T"
Al 1.6824 1.6824 5.4679
Li 1.6824 1.6824 1.8226
Cl 0.0000 0.0000 3.4280
Cl 0.0000 0.0000 0.2172
```

## Properties
E   -12.80 eV/f.u.
Spin magnetization   0.00 μB per atom
E above lowest polymorph   20.0 kJ per mole of atoms
Raw formation energy   -0.862 eV/atom

---

A plane-wave DFT calculation with PBE-GGA was carried out for an optimized crystal structure of LiAlCl2.

```
4
Lattice="-3.2877 0.3236 -0.9901 -0.9725 -2.1256 2.5358 -0.9011 6.5266 5.1254" Properties=species:S:1:pos:R:3 pbc="T T T"
Li -0.2921 2.1161 1.6618
Cl -0.8936 6.4728 5.0832
Cl -2.4554 1.4549 2.6230
Al -2.8717 4.4706 4.9912
```

## Properties
E   -13.34 eV/f.u.
Spin magnetization   0.00 μB per atom
E above lowest polymorph   7.0 kJ per mole of atoms
Raw formation energy   -0.997 eV/atom

---

A plane-wave DFT calculation with PBE-GGA was carried out for an optimized crystal structure of LiAl4Cl.

```
6
Lattice="0.2205 0.4329 5.5320 0.4523 4.9978 2.3782 -4.2949 2.1460 2.7905" Properties=species:S:1:pos:R:3 pbc="T T T"
Al -1.1243 5.3582 5.2001
Al -1.2416 3.0493 6.7952
Li 0.0000 0.0000 0.0000
Al -1.3531 2.8303 3.9973
Cl -2.7166 5.6826 8.0255
Al -3.5253 3.9158 5.4087
```

## Properties
E   -18.31 eV/f.u.
Spin magnetization   0.00 μB per atom
Raw formation energy   0.071 eV/atom

---

A plane-wave DFT calculation with PBE-GGA was carried out for an optimized crystal structure of LiAlCl2.

```
4
Lattice="5.9190 -0.0537 0.0272 1.5653 5.7085 -0.0272 -2.5241 -4.4395 2.9929" Properties=species:S:1:pos:R:3 pbc="T T T"
Al 3.6914 -0.7401 1.5101
Li 3.5371 2.6724 0.0000
Cl 7.1274 5.3851 0.0000
Cl 1.8309 2.3800 1.4828
```

## Properties
E   -12.96 eV/f.u.
Spin magnetization   0.00 μB per atom
E above lowest polymorph   16.2 kJ per mole of atoms
Raw formation energy   -0.901 eV/atom

---

A plane-wave DFT calculation with PBE-GGA was carried out for an optimized crystal structure of Li2AlCl.

```
4
Lattice="-2.4445 -4.3622 -0.3538 3.5196 0.4375 -3.5427 2.0785 -1.3208 1.8995" Properties=species:S:1:pos:R:3 pbc="T T T"
Al -0.1830 -2.8415 0.7728
Li 0.0000 0.0000 0.0000
Cl 2.7990 -0.4416 -0.8216
Li 0.5375 -1.9623 -1.9483
```

## Properties
E   -11.26 eV/f.u.
Spin magnetization   0.00 μB per atom
E above lowest polymorph   27.2 kJ per mole of atoms
Raw formation energy   -0.461 eV/atom

---

A plane-wave DFT calculation with PBE-GGA was carried out for an optimized crystal structure of LiAlCl2.

```
4
Lattice="-0.5167 -0.3922 -3.3723 -3.6395 -1.0850 0.6838 -3.1471 6.3568 -0.2571" Properties=species:S:1:pos:R:3 pbc="T T T"
Li -1.9550 1.1219 -1.5795
Cl -2.7456 2.7033 0.1063
Al -5.3484 3.7578 -1.3661
Cl -0.6477 -0.0674 0.1071
```

## Properties
E   -13.13 eV/f.u.
Spin magnetization   0.00 μB per atom
E above lowest polymorph   12.0 kJ per mole of atoms
Raw formation energy   -0.945 eV/atom

---

A plane-wave DFT calculation with PBE-GGA was carried out for an optimized crystal structure of Li2AlCl.

```
4
Lattice="8.1038 0.0551 0.1060 7.5239 3.0109 0.1060 0.6181 0.1213 3.2158" Properties=species:S:1:pos:R:3 pbc="T T T"
Al 8.9450 1.7549 1.5525
Li 11.8006 2.3151 2.6452
Li 14.4594 2.8367 0.4471
Cl 4.7915 0.9400 0.7089
```

## Properties
E   -12.08 eV/f.u.
Spin magnetization   0.00 μB per atom
E above lowest polymorph   7.3 kJ per mole of atoms
Raw formation energy   -0.667 eV/atom

---

A plane-wave DFT calculation with PBE-GGA was carried out for an optimized crystal structure of LiAlCl2.

```
4
Lattice="3.9369 0.0000 0.0000 0.0000 7.0485 0.0000 0.0000 0.0000 3.7713" Properties=species:S:1:pos:R:3 pbc="T T T"
Cl 1.9684 3.5243 0.0000
Li 1.9684 0.0000 1.8856
Al 0.0000 3.5243 1.8856
Cl 0.0000 0.0000 0.0000
```

## Properties
E   -12.75 eV/f.u.
Spin magnetization   0.00 μB per atom
E above lowest polymorph   21.2 kJ per mole of atoms
Raw formation energy   -0.849 eV/atom

---

A plane-wave DFT calculation with PBE-GGA was carried out for an optimized crystal structure of LiAlCl2.

```
4
Lattice="5.8750 -0.1840 0.1392 -0.5199 5.8549 -0.1392 -0.6598 -4.7409 3.4144" Properties=species:S:1:pos:R:3 pbc="T T T"
Al 3.9464 -1.0447 1.7768
Cl 0.1874 0.1984 0.0000
Li 0.7489 1.9747 1.6376
Cl 2.4902 2.6370 0.0000
```

## Properties
E   -12.99 eV/f.u.
Spin magnetization   0.00 μB per atom
E above lowest polymorph   15.5 kJ per mole of atoms
Raw formation energy   -0.909 eV/atom

---

A plane-wave DFT calculation with PBE-GGA was carried out for an optimized crystal structure of Li2AlCl.

```
4
Lattice="-3.2145 0.9894 5.5720 -5.8907 -1.7587 2.1367 5.5491 -1.7864 -2.8940" Properties=species:S:1:pos:R:3 pbc="T T T"
Li 0.0000 0.0000 0.0000
Al -4.5526 -0.3846 3.8544
Cl -1.1090 -0.5908 3.2662
Li -2.4471 -1.9648 1.5486
```

## Properties
E   -11.30 eV/f.u.
Spin magnetization   0.00 μB per atom
E above lowest polymorph   26.3 kJ per mole of atoms
Raw formation energy   -0.470 eV/atom

---

A plane-wave DFT calculation with PBE-GGA was carried out for an optimized crystal structure of LiAlCl2.

```
4
Lattice="-1.5105 -1.7005 -5.7424 -2.6967 -4.2217 -3.6130 -5.3770 1.5086 -1.2091" Properties=species:S:1:pos:R:3 pbc="T T T"
Cl -1.1738 0.0147 -0.6364
Cl -7.5255 -3.5664 -8.4146
Al -1.7514 -1.2923 -2.5057
Li -3.9257 -1.7764 -4.2900
```

## Properties
E   -13.56 eV/f.u.
Spin magnetization   0.00 μB per atom
E above lowest polymorph   1.5 kJ per mole of atoms
Raw formation energy   -1.054 eV/atom

---

A plane-wave DFT calculation with PBE-GGA was carried out for an optimized crystal structure of Li2AlCl.

```
4
Lattice="-0.6205 -2.6272 1.4275 2.3582 0.4663 1.8832 -4.5696 3.6918 4.8081" Properties=species:S:1:pos:R:3 pbc="T T T"
Li -2.5037 2.0227 2.6343
Cl -2.5584 1.6884 5.2614
Li -4.3508 3.5150 4.5778
Al -0.2736 -0.1575 2.8574
```

## Properties
E   -12.11 eV/f.u.
Spin magnetization   0.00 μB per atom
E above lowest polymorph   6.7 kJ per mole of atoms
Raw formation energy   -0.673 eV/atom

---

A plane-wave DFT calculation with PBE-GGA was carried out for an optimized crystal structure of Li3AlCl.

```
5
Lattice="-0.8759 2.8228 3.5571 3.2711 -2.1206 2.4883 3.1498 2.9872 -1.5949" Properties=species:S:1:pos:R:3 pbc="T T T"
Cl 0.0000 0.0000 0.0000
Li 1.5749 1.4936 -0.7975
Li 1.6355 -1.0603 1.2442
Li -0.4380 1.4114 1.7785
Al 2.7725 1.8447 2.2253
```

## Properties
E   -13.67 eV/f.u.
Spin magnetization   0.00 μB per atom
E above lowest polymorph   0.0 kJ per mole of atoms
Raw formation energy   -0.468 eV/atom

---

A plane-wave DFT calculation with PBE-GGA was carried out for an optimized crystal structure of Li3AlCl.

```
5
Lattice="5.2503 0.0000 0.0000 0.0000 5.2503 0.0000 0.0000 0.0000 5.2503" Properties=species:S:1:pos:R:3 pbc="T T T"
Al 0.0000 0.0000 0.0000
Li 2.6252 0.0000 0.0000
Cl 2.6252 2.6252 2.6252
Li 0.0000 0.0000 2.6252
Li 0.0000 2.6252 0.0000
```

## Properties
E   -11.05 eV/f.u.
Spin magnetization   0.60 μB per atom
E above lowest polymorph   50.6 kJ per mole of atoms
Raw formation energy   0.056 eV/atom